1.
# NiOs3 (GGA-PBEsol, optimized geometry)
# E_form (eV/atom): 0.085
# Magnetic moment (μB per formula unit): 0.0
# V (Å³/atom): 13.27
data_NiOs3
_cell_length_a 2.7099
_cell_length_b 2.7099
_cell_length_c 8.3490
_cell_angle_alpha 90.00
_cell_angle_beta 90.00
_cell_angle_gamma 120.00
_space_group_name_H-M_alt 'P -6 m 2'
_space_group_IT_number 187
_space_group_name_Hall 'P -6 2'
loop_
_atom_site_label
_atom_site_type_symbol
_atom_site_fract_x
_atom_site_fract_y
_atom_site_fract_z
Ni1 Ni 0.0000 0.0000 0.0000
Os1 Os 0.0000 0.0000 0.5000
Os2 Os 0.6667 0.3333 0.2453

2.
# CaTl3 (GGA-PBEsol, optimized geometry)
# E_form (eV/atom): -0.289
# Magnetic moment (μB per formula unit): 0.0
# V (Å³/atom): 26.65
data_CaTl3
_cell_length_a 6.728
_cell_length_b 6.736
_cell_length_c 4.706
_cell_angle_alpha 90.00
_cell_angle_beta 90.00
_cell_angle_gamma 90.00
_space_group_name_H-M_alt 'C m m m'
_space_group_IT_number 65
_space_group_name_Hall '-C 2 2'
loop_
_atom_site_label
_atom_site_type_symbol
_atom_site_fract_x
_atom_site_fract_y
_atom_site_fract_z
Ca1 Ca 0.000 0.000 0.000
Tl1 Tl 0.000 0.500 0.000
Tl2 Tl 0.250 0.250 0.500

3.
# ZrFeSi4 (GGA-PBEsol, optimized geometry)
# Magnetic moment (μB per formula unit): 2.5
# Raw formation energy (eV/atom): -0.0233
# V (Å³/atom): 13.97
data_ZrFeSi4
_cell_length_a 6.948
_cell_length_b 6.948
_cell_length_c 6.948
_cell_angle_alpha 90.00
_cell_angle_beta 90.00
_cell_angle_gamma 90.00
_space_group_name_H-M_alt 'F -4 3 m'
_space_group_IT_number 216
_space_group_name_Hall 'F -4 2 3'
loop_
_atom_site_label
_atom_site_type_symbol
_atom_site_fract_x
_atom_site_fract_y
_atom_site_fract_z
Zr1 Zr 0.000 0.000 0.000
Fe1 Fe 0.250 0.250 0.750
Si1 Si 0.124 0.124 0.376

4.
# As2PtCl (GGA-PBEsol, optimized geometry)
# Magnetic moment (μB per formula unit): 0.0
# Raw formation energy (eV/atom): 0.1377
# V (Å³/atom): 18.85
data_As2PtCl
_cell_length_a 3.336
_cell_length_b 3.336
_cell_length_c 6.774
_cell_angle_alpha 90.00
_cell_angle_beta 90.00
_cell_angle_gamma 90.00
_space_group_name_H-M_alt 'P 4 m m'
_space_group_IT_number 99
_space_group_name_Hall 'P 4 -2'
loop_
_atom_site_label
_atom_site_type_symbol
_atom_site_fract_x
_atom_site_fract_y
_atom_site_fract_z
As1 As 0.000 0.000 0.000
As2 As 0.500 0.500 0.211
Pt1 Pt 0.500 0.500 0.829
Cl1 Cl 0.000 0.000 0.558

5.
# NaNi5O6 (GGA-PBEsol, optimized geometry)
# Magnetic moment (μB per formula unit): 1.0
# Raw formation energy (eV/atom): -0.7785
# V (Å³/atom): 8.91
data_NaNi5O6
_cell_length_a 5.110
_cell_length_b 8.768
_cell_length_c 5.078
_cell_angle_alpha 90.00
_cell_angle_beta 109.89
_cell_angle_gamma 90.00
_space_group_name_H-M_alt 'C 1 2/m 1'
_space_group_IT_number 12
_space_group_name_Hall '-C 2y'
loop_
_atom_site_label
_atom_site_type_symbol
_atom_site_fract_x
_atom_site_fract_y
_atom_site_fract_z
Na1 Na 0.000 0.000 0.000
Ni1 Ni 0.000 0.163 0.500
Ni2 Ni 0.000 0.331 0.000
Ni3 Ni 0.000 0.500 0.500
O1 O 0.222 0.318 0.742
O2 O 0.244 0.500 0.283

6.
# AgRhSN2 (GGA-PBEsol, optimized geometry)
# Magnetic moment (μB per formula unit): 2.6
# Raw formation energy (eV/atom): 2.0777
# V (Å³/atom): 14.78
data_AgRhSN2
_cell_length_a 3.842
_cell_length_b 3.842
_cell_length_c 5.008
_cell_angle_alpha 90.00
_cell_angle_beta 90.00
_cell_angle_gamma 90.00
_space_group_name_H-M_alt 'P 4/m m m'
_space_group_IT_number 123
_space_group_name_Hall '-P 4 2'
loop_
_atom_site_label
_atom_site_type_symbol
_atom_site_fract_x
_atom_site_fract_y
_atom_site_fract_z
Ag1 Ag 0.000 0.000 0.000
Rh1 Rh 0.500 0.500 0.500
S1 S 0.000 0.000 0.500
N1 N 0.000 0.500 0.000

7.
# SrSi2Pt (GGA-PBEsol, optimized geometry)
# Magnetic moment (μB per formula unit): 0.0
# Raw formation energy (eV/atom): -0.4278
# V (Å³/atom): 21.89
data_SrSi2Pt
_cell_length_a 4.151
_cell_length_b 6.057
_cell_length_c 6.964
_cell_angle_alpha 90.00
_cell_angle_beta 90.00
_cell_angle_gamma 90.00
_space_group_name_H-M_alt 'I m m m'
_space_group_IT_number 71
_space_group_name_Hall '-I 2 2'
loop_
_atom_site_label
_atom_site_type_symbol
_atom_site_fract_x
_atom_site_fract_y
_atom_site_fract_z
Sr1 Sr 0.000 0.000 0.000
Si1 Si 0.000 0.500 0.173
Pt1 Pt 0.000 0.000 0.500

8.
# PtW2Se (GGA-PBEsol, optimized geometry)
# Magnetic moment (μB per formula unit): 0.0
# Raw formation energy (eV/atom): 0.2800
# V (Å³/atom): 15.68
data_PtW2Se
_cell_length_a 4.338
_cell_length_b 2.815
_cell_length_c 10.268
_cell_angle_alpha 90.00
_cell_angle_beta 90.00
_cell_angle_gamma 90.00
_space_group_name_H-M_alt 'A m m 2'
_space_group_IT_number 38
_space_group_name_Hall 'A 2 -2'
loop_
_atom_site_label
_atom_site_type_symbol
_atom_site_fract_x
_atom_site_fract_y
_atom_site_fract_z
Pt1 Pt 0.000 0.000 0.000
W1 W 0.000 0.000 0.257
W2 W 0.500 0.000 0.614
Se1 Se 0.500 0.000 0.366